Entry 1:
Entry from the Alexandria database: a relaxed YAl3ZnCo crystal (PBE-GGA).

POSCAR file:
```
YAl3ZnCo
1.0
5.6376 0.0000 0.0000
0.0000 6.1441 0.0000
0.0000 -3.0721 6.1174
Al Co Zn Y
6 2 2 2
direct
0.7500 0.8658 0.7315 Al
0.5000 0.7108 0.0000 Al
0.0000 0.2892 0.0000 Al
0.0000 0.7108 0.0000 Al
0.5000 0.2892 0.0000 Al
0.2500 0.1342 0.2685 Al
0.7500 0.0638 0.1276 Co
0.2500 0.9362 0.8724 Co
0.2500 0.3466 0.6931 Zn
0.7500 0.6534 0.3069 Zn
0.2500 0.7261 0.4521 Y
0.7500 0.2739 0.5479 Y
```

The value obtained for the formation energy from the elements is -0.2352 eV/atom.

=====

Entry 2:
Entry from the Alexandria database: a relaxed YbAl8Co2 crystal (PBE-GGA).

POSCAR file:
```
YbAl8Co2
1.0
3.9625 0.0000 0.0000
0.0000 12.3978 0.0000
0.0000 0.0000 14.3614
Co Al Yb
8 32 4
direct
0.0000 0.5341 0.0929 Co
0.0000 0.0341 0.4071 Co
0.0000 0.6506 0.4024 Co
0.0000 0.8494 0.9024 Co
0.0000 0.9659 0.5929 Co
0.0000 0.3494 0.5976 Co
0.0000 0.1506 0.0976 Co
0.0000 0.4659 0.9071 Co
0.5000 0.5000 0.0000 Al
0.5000 0.6678 0.5085 Al
0.0000 0.5000 0.5000 Al
0.5000 0.9760 0.8673 Al
0.5000 0.0000 0.5000 Al
0.0000 0.5957 0.2463 Al
0.5000 0.1611 0.3792 Al
0.5000 0.3389 0.8792 Al
0.5000 0.7359 0.3258 Al
0.5000 0.5481 0.8192 Al
0.0000 0.0957 0.2537 Al
0.0000 0.9043 0.7463 Al
0.5000 0.1678 0.9915 Al
0.0000 0.8384 0.4552 Al
0.5000 0.0240 0.1327 Al
0.5000 0.4519 0.1808 Al
0.0000 0.4043 0.7537 Al
0.5000 0.0481 0.6808 Al
0.0000 0.3384 0.0448 Al
0.5000 0.6611 0.1208 Al
0.0000 0.1616 0.5448 Al
0.5000 0.3322 0.4915 Al
0.0000 0.0000 0.0000 Al
0.5000 0.5240 0.3673 Al
0.5000 0.9519 0.3192 Al
0.5000 0.2641 0.6742 Al
0.5000 0.8389 0.6208 Al
0.5000 0.7641 0.8258 Al
0.5000 0.4760 0.6327 Al
0.5000 0.8322 0.0085 Al
0.0000 0.6616 0.9552 Al
0.5000 0.2359 0.1742 Al
0.0000 0.8410 0.1813 Yb
0.0000 0.3410 0.3187 Yb
0.0000 0.6590 0.6813 Yb
0.0000 0.1590 0.8187 Yb
```

The value obtained for the formation energy from the elements is -0.4545 eV/atom.

=====

Entry 3:
Entry from the Alexandria database: a relaxed Al8Zn2Co3 crystal (PBE-GGA).

POSCAR file:
```
Al8Zn2Co3
1.0
4.0674 0.0000 0.0000
0.0000 7.0149 -4.0379
0.0000 -0.5259 7.2166
Co Al Zn
3 8 2
direct
0.5000 0.0000 0.0000 Co
0.0000 0.7568 0.0004 Co
0.0000 0.2432 0.9996 Co
0.5000 0.3718 0.2272 Al
0.5000 0.8555 0.2275 Al
0.0000 0.1190 0.2374 Al
0.0000 0.3884 0.7767 Al
0.5000 0.6282 0.7728 Al
0.0000 0.8810 0.7626 Al
0.0000 0.6116 0.2233 Al
0.5000 0.1445 0.7725 Al
0.5000 0.7510 0.5026 Zn
0.5000 0.2490 0.4974 Zn
```

The value obtained for the formation energy from the elements is -0.2723 eV/atom.

=====

Entry 4:
Entry from the Alexandria database: a relaxed Al6Zn2Co crystal (PBE-GGA).

POSCAR file:
```
Al6Zn2Co
1.0
-1.4944 -0.0131 -2.7869
0.9573 -6.9921 -0.4804
-5.8143 2.5687 3.1057
Al Zn Co
6 2 1
direct
0.0000 0.7357 0.7358 Al
0.5000 0.0000 0.6350 Al
0.0000 0.9999 0.2642 Al
0.5000 0.3650 0.3650 Al
0.0000 0.2644 0.0000 Al
0.5000 0.6349 0.0000 Al
0.0000 0.6668 0.3335 Zn
0.0000 0.3333 0.6665 Zn
0.5000 0.0000 0.0000 Co
```

The value obtained for the formation energy from the elements is -0.1346 eV/atom.

=====

Entry 5:
Entry from the Alexandria database: a relaxed AlZnCo crystal (PBE-GGA).

POSCAR file:
```
AlZnCo
1.0
-1.5414 0.3283 -3.8758
4.5913 -0.9645 -1.9077
-1.4939 -7.0972 -0.0070
Co Zn Al
4 4 4
direct
0.0000 0.5000 0.9135 Co
0.5000 0.5000 0.4135 Co
0.5000 0.0000 0.0865 Co
0.0000 0.0000 0.5865 Co
0.0000 0.2500 0.2499 Zn
0.0000 0.7500 0.2499 Zn
0.5000 0.7500 0.7501 Zn
0.5000 0.2500 0.7501 Zn
0.5000 0.5000 0.0809 Al
0.5000 0.0000 0.4191 Al
0.0000 0.5000 0.5809 Al
0.0000 0.0000 0.9191 Al
```

The value obtained for the formation energy from the elements is -0.1755 eV/atom. Its energy above the most stable polymorph in this dataset is 59 meV/atom.

=====

Entry 6:
Entry from the Alexandria database: a relaxed AlZnCo crystal (PBE-GGA).

POSCAR file:
```
AlZnCo
1.0
-3.0528 0.0249 -2.5746
-3.7309 -0.5317 1.3214
-2.5766 3.0511 -0.0126
Zn Al Co
1 1 1
direct
0.0000 0.0000 0.0000 Zn
0.5000 0.5000 0.5000 Al
0.7500 0.7500 0.7500 Co
```

The value obtained for the formation energy from the elements is -0.0226 eV/atom. Its energy above the most stable polymorph in this dataset is 212 meV/atom.

=====

Entry 7:
Entry from the Alexandria database: a relaxed AlZnCo2 crystal (PBE-GGA).

POSCAR file:
```
AlZnCo2
1.0
4.1027 0.0000 0.0000
2.0513 3.5530 0.0000
2.0513 1.1843 3.3498
Al Co Zn
1 2 1
direct
0.5000 0.5000 0.5000 Al
0.0000 0.0000 0.0000 Co
0.2500 0.2500 0.2500 Co
0.7500 0.7500 0.7500 Zn
```

The value obtained for the formation energy from the elements is -0.1010 eV/atom.

=====

Entry 8:
Entry from the Alexandria database: a relaxed AlZnCo2 crystal (PBE-GGA).

POSCAR file:
```
AlZnCo2
1.0
-0.6194 0.6047 -2.5761
2.8060 -1.6488 -1.0617
-2.7890 -4.4983 -0.3852
Zn Co Al
1 2 1
direct
0.0000 0.0000 0.4816 Zn
0.5000 0.5000 0.2417 Co
0.0000 0.0000 0.0037 Co
0.5000 0.5000 0.7730 Al
```

The value obtained for the formation energy from the elements is -0.1033 eV/atom.